Entry 1:
! CaY2HgC, optimized geometry, DFT PBE; values from VASP
&SYSTEM
  ibrav = 0, nat = 5, ntyp = 4
/
ATOMIC_SPECIES
Y 88.91 Y.upf
C 12.01 C.upf
Ca 40.08 Ca.upf
Hg 200.59 Hg.upf
CELL_PARAMETERS angstrom
-2.1896 -2.6729 3.4424
4.2202 -0.3383 2.4217
-1.1502 4.2967 2.6047
ATOMIC_POSITIONS angstrom
Y 2.1101 -0.1692 1.2108
Y -1.0948 -1.3365 1.7212
C 0.0000 0.0000 0.0000
Ca -0.5751 2.1484 1.3023
Hg 0.4402 0.6427 4.2344
! DFT total energy   -25.790 eV per cell
! Density of states at the Fermi level   4.566 states/eV per cell
! Density   5.8 Mg/m³
! SG   P4/mmm (123)
! Calculated formation energy   -0.27 eV/atom


Entry 2:
! Ca2YHgC, optimized geometry, DFT PBE; values from VASP
&SYSTEM
  ibrav = 0, nat = 5, ntyp = 4
/
ATOMIC_SPECIES
Y 88.91 Y.upf
C 12.01 C.upf
Ca 40.08 Ca.upf
Hg 200.59 Hg.upf
CELL_PARAMETERS angstrom
5.0837 0.0000 0.0000
0.0000 5.0837 0.0000
0.0000 0.0000 4.8832
ATOMIC_POSITIONS angstrom
Y 0.0000 0.0000 2.4416
C 0.0000 0.0000 0.0000
Ca 0.0000 2.5418 0.0000
Ca 2.5418 0.0000 0.0000
Hg 2.5418 2.5418 2.4416
! DFT total energy   -20.681 eV per cell
! Density of states at the Fermi level   5.529 states/eV per cell
! Density   5.0 Mg/m³
! SG   P4/mmm (123)
! Calculated formation energy   -0.14 eV/atom


Looking at total moment for the records above, in order, we have 0.00, 0.92 μB/cell.